# PmNdInSn (GGA-PBE, relaxed)
data_PmNdInSn
_space_group_name_H-M_alt 'F -4 3 m'
_space_group_IT_number 216
_space_group_name_Hall 'F -4 2 3'
_cell_length_a 7.740
_cell_length_b 7.740
_cell_length_c 7.740
_cell_angle_alpha 90.00
_cell_angle_beta 90.00
_cell_angle_gamma 90.00
loop_
_atom_site_label
_atom_site_type_symbol
_atom_site_fract_x
_atom_site_fract_y
_atom_site_fract_z
_atom_site_occupancy
Pm1 Pm 0.000 0.000 0.000 1
Nd1 Nd 0.000 0.000 0.500 1
In1 In 0.250 0.250 0.750 1
Sn1 Sn 0.250 0.250 0.250 1
# - relative energy among the computed polymorphs (eV per formula unit) = 0.41
# - energy of formation from the pure elements (eV/atom) = -0.542